Entry 1:
A plane-wave DFT calculation with PBE-GGA was carried out for a relaxed structure of MnTcPd.

Computed properties:
Total DFT energy (no corrections): -24.64 eV/f.u.
Spin magnetization: 0.87 μB/f.u.
Calculated density: 10.50 g/cm3
DFT formation energy: 0.70 kcal/mol of atoms
Excess energy over the best structure of this formula in the dataset: 0 kJ/mol of formula units

```
data_MnTcPd
_chemical_formula_sum 'Mn2 Tc2 Pd2'
_cell_length_a 2.7663
_cell_length_b 2.7663
_cell_length_c 10.7182
_cell_angle_alpha 90.00
_cell_angle_beta 90.00
_cell_angle_gamma 90.00
_symmetry_space_group_name_H-M 'P 4/n m m'
_symmetry_Int_Tables_number 129
loop_
_symmetry_equiv_pos_as_xyz
'x,y,z'
'-x,-y,-z'
'-y+1/2,x,z'
'y+1/2,-x,-z'
'-x+1/2,-y+1/2,z'
'x+1/2,y+1/2,-z'
'y,-x+1/2,z'
'-y,x+1/2,-z'
'x+1/2,-y,-z'
'-x+1/2,y,z'
'-y,-x,-z'
'y,x,z'
'-x,y+1/2,-z'
'x,-y+1/2,z'
'y+1/2,x+1/2,-z'
'-y+1/2,-x+1/2,z'
loop_
_atom_site_label
_atom_site_type_symbol
_atom_site_fract_x
_atom_site_fract_y
_atom_site_fract_z
_atom_site_occupancy
Mn1 Mn 0.2500 0.2500 0.0699 1
Tc1 Tc 0.2500 0.2500 0.7841 1
Pd1 Pd 0.2500 0.2500 0.4034 1
```

Entry 2:
A plane-wave DFT calculation with PBE-GGA was carried out for a relaxed structure of TcHg3B.

Computed properties:
Total DFT energy (no corrections): -9.65 eV/f.u.
Spin magnetization: 1.41 μB/f.u.
Calculated density: 7.79 g/cm3
DFT formation energy: 38.25 kcal/mol of atoms
Excess energy over the best structure of this formula in the dataset: 234 kJ/mol of formula units

```
data_TcHg3B
_chemical_formula_sum 'Tc1 Hg3 B1'
_cell_length_a 5.3310
_cell_length_b 5.3310
_cell_length_c 5.3310
_cell_angle_alpha 90.00
_cell_angle_beta 90.00
_cell_angle_gamma 90.00
_symmetry_space_group_name_H-M 'P m -3 m'
_symmetry_Int_Tables_number 221
_symmetry_space_group_name_Hall '-P 4 2 3'
loop_
_atom_site_label
_atom_site_type_symbol
_atom_site_fract_x
_atom_site_fract_y
_atom_site_fract_z
_atom_site_occupancy
Tc1 Tc 0.0000 0.0000 0.0000 1
Hg1 Hg 0.0000 0.0000 0.5000 1
B1 B 0.5000 0.5000 0.5000 1
```

Entry 3:
A plane-wave DFT calculation with PBE-GGA was carried out for a relaxed structure of K3Tm2SnO6.

Computed properties:
Total DFT energy (no corrections): -73.63 eV/f.u.
Spin magnetization: 0.43 μB/f.u.
Calculated density: 5.78 g/cm3
E_form (uncorrected): -2.304 eV/atom

```
data_K3Tm2SnO6
_chemical_formula_sum 'K6 Tm4 Sn2 O12'
_cell_length_a 5.9611
_cell_length_b 10.3243
_cell_length_c 6.5592
_cell_angle_alpha 90.00
_cell_angle_beta 107.60
_cell_angle_gamma 90.00
_symmetry_space_group_name_H-M 'C 1 2/m 1'
_symmetry_Int_Tables_number 12
loop_
_symmetry_equiv_pos_as_xyz
'x,y,z'
'-x,-y,-z'
'-x,y,-z'
'x,-y,z'
'x+1/2,y+1/2,z'
'-x+1/2,-y+1/2,-z'
'-x+1/2,y+1/2,-z'
'x+1/2,-y+1/2,z'
loop_
_atom_site_label
_atom_site_type_symbol
_atom_site_fract_x
_atom_site_fract_y
_atom_site_fract_z
_atom_site_occupancy
K1 K 0.0000 0.0000 0.0000 1
K2 K 0.0000 0.3363 0.0000 1
Tm1 Tm 0.0000 0.1668 0.5000 1
Sn1 Sn 0.0000 0.5000 0.5000 1
O1 O 0.2213 0.0000 0.6858 1
O2 O 0.2324 0.3296 0.6863 1
```

Entry 4:
A plane-wave DFT calculation with PBE-GGA was carried out for a relaxed structure of InCo2Ru.

Computed properties:
Total DFT energy (no corrections): -25.31 eV/f.u.
Spin magnetization: 0.00 μB/f.u.
Calculated density: 10.06 g/cm3
DFT formation energy: 5.30 kcal/mol of atoms

```
data_InCo2Ru
_chemical_formula_sum 'In1 Co2 Ru1'
_cell_length_a 2.7687
_cell_length_b 3.5626
_cell_length_c 5.5849
_cell_angle_alpha 90.00
_cell_angle_beta 90.00
_cell_angle_gamma 90.00
_symmetry_space_group_name_H-M 'P m m m'
_symmetry_Int_Tables_number 47
loop_
_symmetry_equiv_pos_as_xyz
'x,y,z'
'-x,-y,-z'
'-x,-y,z'
'x,y,-z'
'x,-y,-z'
'-x,y,z'
'-x,y,-z'
'x,-y,z'
loop_
_atom_site_label
_atom_site_type_symbol
_atom_site_fract_x
_atom_site_fract_y
_atom_site_fract_z
_atom_site_occupancy
In1 In 0.0000 0.0000 0.0000 1
Co1 Co 0.5000 0.5000 0.2829 1
Ru1 Ru 0.0000 0.0000 0.5000 1
```

Entry 5:
A plane-wave DFT calculation with PBE-GGA was carried out for a relaxed structure of Ho12As5Ru3.

Computed properties:
Total DFT energy (no corrections): -114.90 eV/f.u.
Spin magnetization: 0.00 μB/f.u.
Calculated density: 7.70 g/cm3
DFT formation energy: -10.25 kcal/mol of atoms

```
data_Ho12As5Ru3
_chemical_formula_sum 'Ho96 As40 Ru24'
_cell_length_a 16.6122
_cell_length_b 16.6122
_cell_length_c 16.6122
_cell_angle_alpha 90.00
_cell_angle_beta 90.00
_cell_angle_gamma 90.00
_symmetry_space_group_name_H-M 'I a -3 d'
_symmetry_Int_Tables_number 230
_symmetry_space_group_name_Hall '-I 4bd 2c 3'
loop_
_atom_site_label
_atom_site_type_symbol
_atom_site_fract_x
_atom_site_fract_y
_atom_site_fract_z
_atom_site_occupancy
Ho1 Ho 0.0189 0.0750 0.6520 1
As1 As 0.0000 0.0000 0.0000 1
As2 As 0.0000 0.2500 0.3750 1
Ru1 Ru 0.0000 0.2500 0.1250 1
```

Entry 6:
A plane-wave DFT calculation with PBE-GGA was carried out for a relaxed structure of Pu2MnZn.

Computed properties:
Total DFT energy (no corrections): -38.77 eV/f.u.
Spin magnetization: 8.18 μB/f.u.
Calculated density: 12.16 g/cm3
DFT formation energy: 1.96 kcal/mol of atoms
Excess energy over the best structure of this formula in the dataset: 30 kJ/mol of formula units

```
data_Pu2MnZn
_chemical_formula_sum 'Pu8 Mn4 Zn4'
_cell_length_a 6.9269
_cell_length_b 6.9269
_cell_length_c 6.9269
_cell_angle_alpha 90.00
_cell_angle_beta 90.00
_cell_angle_gamma 90.00
_symmetry_space_group_name_H-M 'F m -3 m'
_symmetry_Int_Tables_number 225
_symmetry_space_group_name_Hall '-F 4 2 3'
loop_
_atom_site_label
_atom_site_type_symbol
_atom_site_fract_x
_atom_site_fract_y
_atom_site_fract_z
_atom_site_occupancy
Pu1 Pu 0.2500 0.2500 0.2500 1
Mn1 Mn 0.0000 0.0000 0.0000 1
Zn1 Zn 0.0000 0.0000 0.5000 1
```

Entry 7:
A plane-wave DFT calculation with PBE-GGA was carried out for a relaxed structure of Sr2CrNi.

Computed properties:
Total DFT energy (no corrections): -16.22 eV/f.u.
Spin magnetization: 5.00 μB/f.u.
Calculated density: 3.72 g/cm3
DFT formation energy: 14.71 kcal/mol of atoms
Excess energy over the best structure of this formula in the dataset: 126 kJ/mol of formula units

```
data_Sr2CrNi
_chemical_formula_sum 'Sr6 Cr3 Ni3'
_cell_length_a 4.1034
_cell_length_b 4.1034
_cell_length_c 26.2774
_cell_angle_alpha 90.00
_cell_angle_beta 90.00
_cell_angle_gamma 120.00
_symmetry_space_group_name_H-M 'R -3 m'
_symmetry_Int_Tables_number 166
_symmetry_space_group_name_Hall '-R 3 2"'
loop_
_atom_site_label
_atom_site_type_symbol
_atom_site_fract_x
_atom_site_fract_y
_atom_site_fract_z
_atom_site_occupancy
Sr1 Sr 0.0000 0.0000 0.2337 1
Cr1 Cr 0.0000 0.0000 0.0000 1
Ni1 Ni 0.0000 0.0000 0.5000 1
```

Entry 8:
A plane-wave DFT calculation with PBE-GGA was carried out for a relaxed structure of K2CaSb.

Computed properties:
Total DFT energy (no corrections): -8.18 eV/f.u.
Spin magnetization: 0.00 μB/f.u.
Calculated density: 2.29 g/cm3
E_form (uncorrected): 0.036 eV/atom

```
data_K2CaSb
_chemical_formula_sum 'K6 Ca3 Sb3'
_cell_length_a 3.9288
_cell_length_b 3.9288
_cell_length_c 39.1227
_cell_angle_alpha 90.00
_cell_angle_beta 90.00
_cell_angle_gamma 120.00
_symmetry_space_group_name_H-M 'R -3 m'
_symmetry_Int_Tables_number 166
_symmetry_space_group_name_Hall '-R 3 2"'
loop_
_atom_site_label
_atom_site_type_symbol
_atom_site_fract_x
_atom_site_fract_y
_atom_site_fract_z
_atom_site_occupancy
K1 K 0.0000 0.0000 0.2353 1
Ca1 Ca 0.0000 0.0000 0.0000 1
Sb1 Sb 0.0000 0.0000 0.5000 1
```

Entry 9:
A plane-wave DFT calculation with PBE-GGA was carried out for a relaxed structure of Pm2ZnSn4Ir3.

Computed properties:
Total DFT energy (no corrections): -58.33 eV/f.u.
Spin magnetization: 0.00 μB/f.u.
Calculated density: 10.56 g/cm3
DFT formation energy: -11.43 kcal/mol of atoms

```
data_Pm2ZnSn4Ir3
_chemical_formula_sum 'Pm2 Zn1 Sn4 Ir3'
_cell_length_a 4.4694
_cell_length_b 4.4694
_cell_length_c 11.0785
_cell_angle_alpha 90.00
_cell_angle_beta 90.00
_cell_angle_gamma 90.00
_symmetry_space_group_name_H-M 'P -4 m 2'
_symmetry_Int_Tables_number 115
loop_
_symmetry_equiv_pos_as_xyz
'x,y,z'
'y,-x,-z'
'-x,-y,z'
'-y,x,-z'
'-x,y,z'
'-y,-x,-z'
'x,-y,z'
'y,x,-z'
loop_
_atom_site_label
_atom_site_type_symbol
_atom_site_fract_x
_atom_site_fract_y
_atom_site_fract_z
_atom_site_occupancy
Pm1 Pm 0.0000 0.5000 0.2448 1
Zn1 Zn 0.0000 0.0000 0.5000 1
Sn1 Sn 0.0000 0.0000 0.0000 1
Sn2 Sn 0.0000 0.5000 0.6355 1
Sn3 Sn 0.5000 0.5000 0.0000 1
Ir1 Ir 0.0000 0.5000 0.8687 1
Ir2 Ir 0.5000 0.5000 0.5000 1
```

Entry 10:
A plane-wave DFT calculation with PBE-GGA was carried out for a relaxed structure of La2MnCuSe.

Computed properties:
Total DFT energy (no corrections): -27.49 eV/f.u.
Spin magnetization: 3.36 μB/f.u.
Calculated density: 5.64 g/cm3
E_form (uncorrected): -0.177 eV/atom

```
data_La2MnCuSe
_chemical_formula_sum 'La2 Mn1 Cu1 Se1'
_cell_length_a 5.5418
_cell_length_b 5.5418
_cell_length_c 4.5599
_cell_angle_alpha 90.00
_cell_angle_beta 90.00
_cell_angle_gamma 90.00
_symmetry_space_group_name_H-M 'P 4/m m m'
_symmetry_Int_Tables_number 123
_symmetry_space_group_name_Hall '-P 4 2'
loop_
_atom_site_label
_atom_site_type_symbol
_atom_site_fract_x
_atom_site_fract_y
_atom_site_fract_z
_atom_site_occupancy
La1 La 0.0000 0.5000 0.0000 1
Mn1 Mn 0.0000 0.0000 0.5000 1
Cu1 Cu 0.0000 0.0000 0.0000 1
Se1 Se 0.5000 0.5000 0.5000 1
```

Q: Number 5 is which compound?
A: Ho12As5Ru3

Q: Look up the spin magnetization of the third one.
A: 0.43 μB/f.u.